Entry 1:
First-principles (PBE) data for a relaxed structure of LiZrTl, as listed in Alexandria via LeMat-Bulk.

Cell and atoms, written as POSCAR:
```
LiZrTl
1.0
0.000 3.372 3.372
3.372 0.000 3.372
3.372 3.372 0.000
Li Zr Tl
1 1 1
Direct
0.000 0.000 0.000
0.750 0.750 0.750
0.500 0.500 0.500
```

Results
E above lowest polymorph	196.3	kJ/mol of formula units
energy relative to the elements	0.53	eV/atom
density	6.55	Mg/m³


Entry 2:
First-principles (PBE) data for a relaxed structure of LiZrTl, as listed in Alexandria via LeMat-Bulk.

Cell and atoms, written as POSCAR:
```
LiZrTl
1.0
4.708 0.000 0.000
-2.354 4.077 0.000
0.000 0.000 3.226
Li Zr Tl
1 1 1
Direct
0.000 0.000 0.000
0.333 0.667 0.500
0.667 0.333 0.000
```

Results
E above lowest polymorph	32.7	kJ/mol of formula units
energy relative to the elements	-0.03	eV/atom
density	8.11	Mg/m³


Entry 3:
First-principles (PBE) data for a relaxed structure of LiZrTl2, as listed in Alexandria via LeMat-Bulk.

Cell and atoms, written as POSCAR:
```
LiZrTl2
1.0
3.783 0.000 0.000
0.000 3.783 0.000
0.000 0.000 6.465
Li Zr Tl
1 1 2
Direct
0.000 0.000 0.000
0.500 0.500 0.739
0.000 0.000 0.512
0.500 0.500 0.205
```

Results
energy relative to the elements	0.11	eV/atom
density	9.10	Mg/m³


Entry 4:
First-principles (PBE) data for a relaxed structure of LiZrTl2, as listed in Alexandria via LeMat-Bulk.

Cell and atoms, written as POSCAR:
```
LiZrTl2
1.0
3.355 0.000 0.000
0.000 4.691 0.000
0.000 0.000 6.085
Li Zr Tl
1 1 2
Direct
0.000 0.000 0.000
0.500 0.500 0.690
0.000 0.000 0.534
0.500 0.500 0.184
```

Results
energy relative to the elements	0.05	eV/atom
density	8.79	Mg/m³


Entry 5:
First-principles (PBE) data for a relaxed structure of Li2ZrTl, as listed in Alexandria via LeMat-Bulk.

Cell and atoms, written as POSCAR:
```
Li2ZrTl
1.0
2.989 0.000 0.000
0.000 4.649 0.000
-1.490 0.000 6.069
Li Zr Tl
2 1 1
Direct
0.000 0.000 0.000
0.400 0.500 0.803
0.744 0.000 0.493
0.129 0.500 0.263
```

Results
energy relative to the elements	0.05	eV/atom
density	6.09	Mg/m³


Entry 6:
First-principles (PBE) data for a relaxed structure of LiZrTl, as listed in Alexandria via LeMat-Bulk.

Cell and atoms, written as POSCAR:
```
LiZrTl
1.0
6.161 -1.642 0.000
6.161 1.642 0.000
-2.170 0.000 6.663
Li Zr Tl
2 2 2
Direct
0.156 0.156 0.333
0.844 0.844 0.667
0.167 0.167 0.843
0.833 0.833 0.157
0.500 0.500 0.000
0.500 0.500 0.500
```

Results
E above lowest polymorph	38.2	kJ/mol of formula units
energy relative to the elements	-0.01	eV/atom
density	7.45	Mg/m³


Entry 7:
First-principles (PBE) data for a relaxed structure of LiZrTl, as listed in Alexandria via LeMat-Bulk.

Cell and atoms, written as POSCAR:
```
LiZrTl
1.0
0.000 2.496 7.740
1.755 0.000 7.740
1.755 2.496 0.000
Li Zr Tl
1 1 1
Direct
0.000 0.000 0.000
0.672 0.672 0.328
0.347 0.347 0.653
```

Results
E above lowest polymorph	77.7	kJ/mol of formula units
energy relative to the elements	0.12	eV/atom
density	7.41	Mg/m³


Entry 8:
First-principles (PBE) data for a relaxed structure of Li2ZrTl, as listed in Alexandria via LeMat-Bulk.

Cell and atoms, written as POSCAR:
```
Li2ZrTl
1.0
3.014 0.000 0.000
0.000 4.982 0.000
-0.302 0.000 5.550
Li Zr Tl
2 1 1
Direct
0.134 0.000 0.243
0.866 0.000 0.757
0.500 0.500 0.000
0.000 0.500 0.500
```

Results
energy relative to the elements	0.03	eV/atom
density	6.17	Mg/m³